Computed, not measured: a relaxed structure of La2TlInH at the PBE-GGA level of DFT.

## Properties
The density of states at the Fermi level comes out at 4.026 states/eV/cell. The total energy comes out at -4.050 eV per atom. The excess energy over the best structure of this formula in the dataset is 0 meV/atom.

Geometry as CIF:
```
data_La2TlInH
_chemical_formula_sum 'La2 Tl1 In1 H1'
_cell_length_a 5.021
_cell_length_b 5.021
_cell_length_c 4.842
_cell_angle_alpha 90.00
_cell_angle_beta 90.00
_cell_angle_gamma 90.00
_space_group_name_H-M_alt 'P 1'
_space_group_IT_number 1
_space_group_name_Hall 'P 1'
loop_
_atom_site_label
_atom_site_fract_x
_atom_site_fract_y
_atom_site_fract_z
In1 0.000 0.000 0.500
H1 0.000 0.000 0.000
La1 0.500 0.000 0.000
La2 0.000 0.500 0.000
Tl1 0.500 0.500 0.500
```



Computed, not measured: a relaxed structure of LaTl2InH at the PBE-GGA level of DFT.

## Properties
The density of states at the Fermi level comes out at 1.786 states/eV/cell. The total energy comes out at -3.389 eV per atom.

Geometry as CIF:
```
data_LaTl2InH
_chemical_formula_sum 'La1 Tl2 In1 H1'
_cell_length_a 5.012
_cell_length_b 5.012
_cell_length_c 4.725
_cell_angle_alpha 90.00
_cell_angle_beta 90.00
_cell_angle_gamma 90.00
_space_group_name_H-M_alt 'P 1'
_space_group_IT_number 1
_space_group_name_Hall 'P 1'
loop_
_atom_site_label
_atom_site_fract_x
_atom_site_fract_y
_atom_site_fract_z
In1 0.500 0.500 0.500
Tl1 0.500 0.000 0.000
Tl2 0.000 0.500 0.000
H1 0.000 0.000 0.000
La1 0.000 0.000 0.500
```



Computed, not measured: a relaxed structure of LaTlIn2H at the PBE-GGA level of DFT.

## Properties
The density of states at the Fermi level comes out at 1.810 states/eV/cell. The total energy comes out at -3.496 eV per atom.

Geometry as CIF:
```
data_LaTlIn2H
_chemical_formula_sum 'La1 Tl1 In2 H1'
_cell_length_a 4.925
_cell_length_b 4.925
_cell_length_c 4.736
_cell_angle_alpha 90.00
_cell_angle_beta 90.00
_cell_angle_gamma 90.00
_space_group_name_H-M_alt 'P 1'
_space_group_IT_number 1
_space_group_name_Hall 'P 1'
loop_
_atom_site_label
_atom_site_fract_x
_atom_site_fract_y
_atom_site_fract_z
La1 0.000 0.000 0.500
Tl1 0.500 0.500 0.500
In1 0.000 0.500 0.000
In2 0.500 0.000 0.000
H1 0.000 0.000 0.000
```



Computed, not measured: a relaxed structure of La2YInH at the PBE-GGA level of DFT.

## Properties
The density of states at the Fermi level comes out at 4.418 states/eV/cell. The total energy comes out at -4.863 eV per atom. The excess energy over the best structure of this formula in the dataset is 0 meV/atom.

Geometry as CIF:
```
data_La2YInH
_chemical_formula_sum 'La2 Y1 In1 H1'
_cell_length_a 4.932
_cell_length_b 4.932
_cell_length_c 5.186
_cell_angle_alpha 90.00
_cell_angle_beta 90.00
_cell_angle_gamma 90.00
_space_group_name_H-M_alt 'P 1'
_space_group_IT_number 1
_space_group_name_Hall 'P 1'
loop_
_atom_site_label
_atom_site_fract_x
_atom_site_fract_y
_atom_site_fract_z
La1 0.000 0.500 0.000
La2 0.500 0.000 0.000
H1 0.000 0.000 0.000
Y1 0.000 0.000 0.500
In1 0.500 0.500 0.500
```



Computed, not measured: a relaxed structure of La2YInH at the PBE-GGA level of DFT.

## Properties
The density of states at the Fermi level comes out at 5.181 states/eV/cell. The total energy comes out at -4.789 eV per atom. The excess energy over the best structure of this formula in the dataset is 74 meV/atom.

Geometry as CIF:
```
data_La2YInH
_chemical_formula_sum 'La2 Y1 In1 H1'
_cell_length_a 4.878
_cell_length_b 4.878
_cell_length_c 5.277
_cell_angle_alpha 90.00
_cell_angle_beta 90.00
_cell_angle_gamma 90.00
_space_group_name_H-M_alt 'P 1'
_space_group_IT_number 1
_space_group_name_Hall 'P 1'
loop_
_atom_site_label
_atom_site_fract_x
_atom_site_fract_y
_atom_site_fract_z
Y1 0.500 0.500 0.500
H1 0.000 0.000 0.000
La1 0.000 0.500 0.000
La2 0.500 0.000 0.000
In1 0.000 0.000 0.500
```



Computed, not measured: a relaxed structure of LaY2InH at the PBE-GGA level of DFT.

## Properties
The density of states at the Fermi level comes out at 6.907 states/eV/cell. The total energy comes out at -5.166 eV per atom.

Geometry as CIF:
```
data_LaY2InH
_chemical_formula_sum 'La1 Y2 In1 H1'
_cell_length_a 5.000
_cell_length_b 5.000
_cell_length_c 4.815
_cell_angle_alpha 90.00
_cell_angle_beta 90.00
_cell_angle_gamma 90.00
_space_group_name_H-M_alt 'P 1'
_space_group_IT_number 1
_space_group_name_Hall 'P 1'
loop_
_atom_site_label
_atom_site_fract_x
_atom_site_fract_y
_atom_site_fract_z
Y1 0.500 0.000 0.000
Y2 0.000 0.500 0.000
H1 0.000 0.000 0.000
La1 0.000 0.000 0.500
In1 0.500 0.500 0.500
```



Computed, not measured: a relaxed structure of LaZr2InH at the PBE-GGA level of DFT.

## Properties
The density of states at the Fermi level comes out at 4.738 states/eV/cell. The total energy comes out at -5.846 eV per atom.

Geometry as CIF:
```
data_LaZr2InH
_chemical_formula_sum 'La1 Zr2 In1 H1'
_cell_length_a 4.676
_cell_length_b 4.676
_cell_length_c 4.742
_cell_angle_alpha 90.00
_cell_angle_beta 90.00
_cell_angle_gamma 90.00
_space_group_name_H-M_alt 'P 1'
_space_group_IT_number 1
_space_group_name_Hall 'P 1'
loop_
_atom_site_label
_atom_site_fract_x
_atom_site_fract_y
_atom_site_fract_z
In1 0.500 0.500 0.500
Zr1 0.000 0.500 0.000
Zr2 0.500 0.000 0.000
H1 0.000 0.000 0.000
La1 0.000 0.000 0.500
```



Computed, not measured: a relaxed structure of Li2InH at the PBE-GGA level of DFT.

## Properties
The density of states at the Fermi level comes out at 1.713 states/eV/cell. The total energy comes out at -2.184 eV per atom. The excess energy over the best structure of this formula in the dataset is 552 meV/atom.

Geometry as CIF:
```
data_Li2InH
_chemical_formula_sum 'Li2 In1 H1'
_cell_length_a 4.558
_cell_length_b 4.558
_cell_length_c 4.558
_cell_angle_alpha 60.00
_cell_angle_beta 60.00
_cell_angle_gamma 60.00
_space_group_name_H-M_alt 'P 1'
_space_group_IT_number 1
_space_group_name_Hall 'P 1'
loop_
_atom_site_label
_atom_site_fract_x
_atom_site_fract_y
_atom_site_fract_z
Li1 0.250 0.250 0.250
Li2 0.750 0.750 0.750
H1 0.000 0.000 0.000
In1 0.500 0.500 0.500
```



Computed, not measured: a relaxed structure of Li2InH at the PBE-GGA level of DFT.

## Properties
The density of states at the Fermi level comes out at 0.097 states/eV/cell. The total energy comes out at -2.736 eV per atom. The excess energy over the best structure of this formula in the dataset is 0 meV/atom.

Geometry as CIF:
```
data_Li2InH
_chemical_formula_sum 'Li4 In2 H2'
_cell_length_a 5.529
_cell_length_b 5.529
_cell_length_c 5.505
_cell_angle_alpha 59.86
_cell_angle_beta 59.86
_cell_angle_gamma 90.00
_space_group_name_H-M_alt 'P 1'
_space_group_IT_number 1
_space_group_name_Hall 'P 1'
loop_
_atom_site_label
_atom_site_fract_x
_atom_site_fract_y
_atom_site_fract_z
In1 0.750 0.250 0.500
In2 0.000 0.000 0.000
Li1 0.340 0.625 0.250
Li2 0.375 0.590 0.750
Li3 0.410 0.125 0.250
Li4 0.875 0.660 0.750
H1 0.500 0.500 0.000
H2 0.250 0.750 0.500
```



Computed, not measured: a relaxed structure of LiIn2H2 at the PBE-GGA level of DFT.

## Properties
The density of states at the Fermi level comes out at 2.702 states/eV/cell. The total energy comes out at -2.733 eV per atom. The excess energy over the best structure of this formula in the dataset is 0 meV/atom.

Geometry as CIF:
```
data_LiIn2H2
_chemical_formula_sum 'Li2 In4 H4'
_cell_length_a 6.054
_cell_length_b 6.054
_cell_length_c 4.313
_cell_angle_alpha 90.00
_cell_angle_beta 90.00
_cell_angle_gamma 90.00
_space_group_name_H-M_alt 'P 1'
_space_group_IT_number 1
_space_group_name_Hall 'P 1'
loop_
_atom_site_label
_atom_site_fract_x
_atom_site_fract_y
_atom_site_fract_z
In1 0.250 0.250 0.500
In2 0.250 0.750 0.500
In3 0.750 0.750 0.500
In4 0.750 0.250 0.500
H1 0.749 0.249 0.000
H2 0.751 0.749 0.000
H3 0.251 0.751 0.000
H4 0.249 0.251 0.000
Li1 0.000 0.000 0.000
Li2 0.500 0.500 0.000
```